Material: Nd6ZnTc2Br3
Method: DFT, PBE
State: optimized geometry

Calculated values
- total magnetization (μB/f.u.) = 0.00
- raw formation energy (eV/atom) = -0.58
- density of states at the Fermi level (states/eV per cell) = 11.07

abc: 6.958 12.408 8.424
angles: 90.00 106.56 90.00
Space group C2/m (No. 12)
Unique sites:
Nd1 0.200 0.000 0.194 [4 per cell]
Nd2 0.243 0.324 0.214 [8 per cell]
Zn1 0.000 0.500 0.000 [2 per cell]
Tc1 0.000 0.175 0.000 [4 per cell]
Br1 0.000 0.000 0.500 [2 per cell]
Br2 0.000 0.332 0.500 [4 per cell]